Record 1
VASP calculation (PBE) on Rb3Hg12As5 after structural relaxation.

```
Rb3Hg12As5
1.0
-0.981 -13.143 8.596
10.958 9.477 6.139
-13.913 7.349 0.048
As Hg Rb
20 48 12
Direct
0.000 0.000 0.500 As
0.500 0.000 0.500 As
0.750 0.625 0.375 As
0.500 0.500 0.000 As
0.625 0.875 0.250 As
0.750 0.125 0.875 As
0.250 0.875 0.125 As
0.500 0.500 0.500 As
0.125 0.750 0.375 As
0.250 0.375 0.625 As
0.000 0.500 0.500 As
0.375 0.125 0.750 As
0.125 0.375 0.250 As
0.000 0.500 0.000 As
0.500 0.000 0.000 As
0.375 0.250 0.125 As
0.000 0.000 0.000 As
0.625 0.750 0.875 As
0.875 0.625 0.750 As
0.875 0.250 0.625 As
0.869 0.804 0.816 Hg
0.947 0.631 0.935 Hg
0.565 0.553 0.369 Hg
0.696 0.512 0.565 Hg
0.935 0.131 0.947 Hg
0.012 0.447 0.316 Hg
0.947 0.316 0.512 Hg
0.447 0.012 0.816 Hg
0.631 0.947 0.435 Hg
0.988 0.553 0.684 Hg
0.053 0.369 0.065 Hg
0.696 0.184 0.631 Hg
0.369 0.316 0.304 Hg
0.553 0.565 0.869 Hg
0.304 0.488 0.435 Hg
0.553 0.988 0.184 Hg
0.131 0.196 0.184 Hg
0.816 0.512 0.447 Hg
0.447 0.435 0.131 Hg
0.196 0.131 0.684 Hg
0.184 0.696 0.131 Hg
0.435 0.988 0.304 Hg
0.488 0.304 0.935 Hg
0.065 0.196 0.512 Hg
0.488 0.184 0.053 Hg
0.816 0.304 0.869 Hg
0.316 0.369 0.804 Hg
0.631 0.684 0.696 Hg
0.804 0.869 0.316 Hg
0.988 0.435 0.804 Hg
0.369 0.053 0.565 Hg
0.512 0.696 0.065 Hg
0.131 0.935 0.447 Hg
0.684 0.631 0.196 Hg
0.184 0.488 0.553 Hg
0.804 0.935 0.988 Hg
0.053 0.684 0.488 Hg
0.565 0.012 0.696 Hg
0.869 0.065 0.553 Hg
0.304 0.816 0.369 Hg
0.512 0.816 0.947 Hg
0.684 0.053 0.988 Hg
0.316 0.947 0.012 Hg
0.012 0.565 0.196 Hg
0.935 0.804 0.488 Hg
0.065 0.869 0.053 Hg
0.196 0.065 0.012 Hg
0.435 0.447 0.631 Hg
0.875 0.125 0.250 Rb
0.625 0.375 0.750 Rb
0.875 0.750 0.125 Rb
0.250 0.125 0.375 Rb
0.375 0.625 0.250 Rb
0.625 0.250 0.375 Rb
0.750 0.875 0.625 Rb
0.250 0.625 0.875 Rb
0.375 0.750 0.625 Rb
0.125 0.875 0.750 Rb
0.125 0.250 0.875 Rb
0.750 0.375 0.125 Rb
```

Total energy: -116.48 eV per cell
Space-group type: Ia-3d (230)
Formation energy from the elements: 3 kJ/mol of atoms


Record 2
VASP calculation (PBE) on RbHg6As2 after structural relaxation.

```
RbHg6As2
1.0
5.134 0.000 0.000
0.000 5.134 0.000
0.000 0.000 9.634
Hg As Rb
6 2 1
Direct
0.000 0.000 0.500 Hg
0.000 0.500 0.709 Hg
0.500 0.500 0.500 Hg
0.500 0.000 0.291 Hg
0.000 0.500 0.291 Hg
0.500 0.000 0.709 Hg
0.500 0.500 0.124 As
0.500 0.500 0.876 As
0.000 0.000 0.000 Rb
```

Total energy: -12.55 eV per cell
Space-group type: P4/mmm (123)
Formation energy from the elements: -5 kJ/mol of atoms


Record 3
VASP calculation (PBE) on RbHg3As after structural relaxation.

```
RbHg3As
1.0
6.743 0.000 0.000
0.000 6.743 0.000
0.000 0.000 6.743
Rb As Hg
1 1 3
Direct
0.000 0.000 0.000 Rb
0.500 0.500 0.500 As
0.000 0.000 0.500 Hg
0.000 0.500 0.000 Hg
0.500 0.000 0.000 Hg
```

Total energy: -3.64 eV per cell
ΔE to the lowest computed polymorph: 745 meV per atom
Space-group type: Pm-3m (221)
Formation energy from the elements: 56 kJ/mol of atoms


Record 4
VASP calculation (PBE) on RbHg3As after structural relaxation.

```
RbHg3As
1.0
-3.685 -3.546 2.457
2.598 -4.404 -2.459
3.444 -0.471 4.484
Hg Rb As
3 1 1
Direct
0.000 0.000 0.500 Hg
0.000 0.500 0.000 Hg
0.500 0.000 0.000 Hg
0.500 0.500 0.500 Rb
0.000 0.000 0.000 As
```

Total energy: -6.59 eV per cell
ΔE to the lowest computed polymorph: 155 meV per atom
Space-group type: Pm-3m (221)
Formation energy from the elements: -1 kJ/mol of atoms


Record 5
VASP calculation (PBE) on RbHgAs2 after structural relaxation.

```
RbHgAs2
1.0
-3.322 4.080 0.404
-1.480 -0.708 -5.016
-9.472 -4.361 0.633
Rb Hg As
2 2 4
Direct
0.500 0.500 0.000 Rb
0.250 0.750 0.500 Rb
0.750 0.250 0.500 Hg
0.000 0.000 0.000 Hg
0.831 0.125 0.250 As
0.375 0.169 0.750 As
0.875 0.081 0.750 As
0.919 0.625 0.250 As
```

Total energy: -21.22 eV per cell
Space-group type: I-42d (122)
Formation energy from the elements: -1 kJ/mol of atoms


Record 6
VASP calculation (PBE) on RbHgAs3 after structural relaxation.

```
RbHgAs3
1.0
5.381 0.000 0.000
0.000 5.381 0.000
0.000 0.000 5.381
Rb As Hg
1 3 1
Direct
0.500 0.500 0.500 Rb
0.500 0.000 0.000 As
0.000 0.000 0.500 As
0.000 0.500 0.000 As
0.000 0.000 0.000 Hg
```

Total energy: -12.54 eV per cell
ΔE to the lowest computed polymorph: 0 meV per atom
Space-group type: Pm-3m (221)
Formation energy from the elements: 52 kJ/mol of atoms